Entry from the Alexandria database: Sr2Pr4Sb3O2 after structural relaxation (PBE-GGA).

Computed properties:
Magnetization in μB per formula unit: 0.0
Formation energy from raw total energies in eV/atom: -1.69

CIF file:
```
data_Sr2Pr4Sb3O2
_cell_length_a 4.908
_cell_length_b 4.908
_cell_length_c 26.222
_cell_angle_alpha 90.00
_cell_angle_beta 90.00
_cell_angle_gamma 90.00
_space_group_name_H-M_alt 'I 4/m m m'
_space_group_IT_number 139
_space_group_name_Hall '-I 4 2'
loop_
_atom_site_label
_atom_site_fract_x
_atom_site_fract_y
_atom_site_fract_z
Sr1 0.000 0.000 0.196
Pr1 0.000 0.500 0.081
Sb1 0.000 0.000 0.327
Sb2 0.000 0.000 0.500
O1 0.000 0.000 0.099
```